No. 1
DFT (PBE-GGA) results for a geometry-optimized PmCu2F11 structure.

POSCAR file:
```
PmCu2F11
1.0
7.868 0.000 4.101
3.575 6.713 2.739
0.811 0.139 8.042
Pm Cu F
2 4 22
Cartesian
9.191 5.139 11.162
3.064 1.713 3.721
8.266 4.750 7.198
3.988 2.102 7.684
7.653 1.463 10.250
4.601 5.389 4.632
8.260 4.895 9.023
3.994 1.957 5.859
3.107 3.703 7.561
10.622 6.576 12.338
9.147 3.150 7.321
1.632 0.276 2.544
6.905 5.383 11.623
5.349 1.469 3.259
6.127 3.426 7.441
8.679 0.139 12.143
9.911 5.766 7.013
2.343 1.086 7.869
6.862 2.479 8.796
5.392 4.373 6.086
7.214 6.245 7.093
5.040 0.607 7.789
4.153 2.352 9.490
1.360 1.213 5.250
8.101 4.500 5.392
10.894 5.639 9.632
3.912 3.894 3.830
8.342 2.958 11.052
```

Results
Symmetry: Ibam (72)


No. 2
DFT (PBE-GGA) results for a geometry-optimized PmCu4F12 structure.

POSCAR file:
```
PmCu4F12
1.0
6.321 -0.023 -2.255
-3.165 5.488 -2.246
0.022 0.016 6.711
Pm Cu F
1 4 12
Cartesian
-1.571 2.752 2.233
-0.004 5.476 -3.373
-1.583 2.744 -1.123
0.011 0.008 3.356
1.589 2.741 1.105
-0.531 3.837 4.270
-2.006 4.179 0.174
0.503 4.173 1.931
-1.765 5.272 2.505
3.314 3.091 2.031
0.707 1.659 2.509
2.471 3.822 -0.299
4.943 0.209 -0.295
-0.136 2.391 0.179
2.676 1.309 0.279
5.185 1.303 2.036
3.710 1.644 -2.060
```

Results
Symmetry: R-3 (148)


No. 3
DFT (PBE-GGA) results for a geometry-optimized PmCu2F8 structure.

POSCAR file:
```
PmCu2F8
1.0
-3.742 -3.609 -1.838
4.029 -3.573 -1.186
-0.537 1.556 6.308
Pm Cu F
1 2 8
Cartesian
0.144 -3.591 -1.512
-2.067 -2.822 1.479
1.818 -2.804 1.805
-1.821 -3.538 -0.202
1.525 -0.929 3.974
-2.111 -2.105 3.176
-0.988 0.182 4.239
1.908 -4.680 -0.381
-0.515 -5.814 -1.061
0.603 -2.404 0.478
0.402 -3.216 2.911
```

Results
Symmetry: I422 (97)


No. 4
DFT (PBE-GGA) results for a geometry-optimized Pm3Cu5F12 structure.

POSCAR file:
```
Pm3Cu5F12
1.0
11.559 0.000 0.000
-3.853 10.898 0.000
-3.853 -5.449 9.438
Pm Cu F
12 20 48
Cartesian
6.743 3.406 1.180
6.743 7.492 1.180
-0.963 4.768 5.899
0.963 -0.681 3.539
8.669 0.000 2.359
0.963 5.449 2.359
2.890 0.000 7.078
-4.816 5.449 7.078
2.890 6.130 5.899
4.816 0.681 3.539
-2.890 -2.043 8.258
-2.890 2.043 8.258
-0.963 2.724 2.359
-1.926 5.449 0.000
0.000 0.000 0.000
2.890 2.043 1.180
3.853 -2.724 4.719
3.853 5.449 0.000
-2.890 6.130 3.539
4.816 -3.406 8.258
4.816 4.768 3.539
0.963 -2.724 7.078
2.890 8.173 2.359
1.926 2.724 4.719
5.779 0.000 0.000
-1.926 -2.724 4.719
-0.963 0.681 5.899
-0.963 8.855 1.180
-3.853 2.724 4.719
6.743 -0.681 5.899
0.963 3.406 8.258
4.816 2.724 7.078
7.633 1.197 0.563
0.073 3.810 3.963
8.429 2.438 2.579
5.057 1.710 1.318
1.415 4.285 6.296
7.991 5.411 1.577
-0.723 6.177 3.897
-3.130 9.188 1.318
0.511 6.613 6.296
5.495 5.487 1.577
5.853 2.836 3.401
5.853 9.701 0.563
-3.342 4.871 5.282
2.211 4.102 0.822
-3.926 8.062 3.401
2.000 -1.638 5.474
-0.511 0.586 2.140
2.211 6.834 0.755
5.057 8.460 2.579
-0.285 4.064 0.755
-2.438 6.035 7.298
2.649 4.721 3.897
5.268 6.027 5.282
4.138 -1.347 8.616
1.204 0.728 5.541
-1.415 -0.578 4.156
-0.285 6.796 0.822
-1.204 -3.011 6.859
6.291 -0.586 2.140
4.138 1.385 8.682
1.642 -1.385 8.682
1.853 7.087 3.963
4.364 4.863 7.298
7.779 -2.613 6.037
7.195 0.578 4.156
-2.000 -4.252 8.875
1.642 1.347 8.616
3.342 -1.164 3.142
-1.642 -0.038 7.860
-2.000 2.613 6.037
6.983 -3.739 8.120
4.576 -0.728 5.541
-1.204 3.739 8.120
-4.138 0.038 7.860
2.438 1.164 3.142
-4.576 3.011 6.859
3.780 1.638 5.474
-3.780 4.252 8.875
```

Results
Symmetry: Ia-3d (230)


no.,formation energy from raw total energies (eV/atom)
1,-1.8528
2,-2.0766
3,-2.3776
4,-2.2940